(1)
Material: BaCdGe2Ir
Method: DFT, GGA-PBE
State: optimized geometry

Results
**Symmetry**: I-4m2 (119)
**Calculated volume**: 116 Å³ per cell
**E_tot**: -4.46 eV/atom
**Density**: 8396 kg/m³
**Spin magnetization**: 0.0 μB per cell

The structure in extended XYZ format:
```
5
Lattice="-2.208 2.208 5.954 2.208 -2.208 5.954 2.208 2.208 -5.954" Properties=species:S:1:pos:R:3 pbc="T T T"
Ba 0.000 0.000 0.000
Cd 2.208 0.000 2.977
Ge 0.000 0.000 4.397
Ge 0.000 0.000 7.511
Ir 0.000 2.208 2.977
```

---

(2)
Material: BaMgCd2Ge
Method: DFT, GGA-PBE
State: optimized geometry

Results
**Symmetry**: I4mm (107)
**Calculated volume**: 136 Å³ per cell
**E_tot**: -2.29 eV/atom
**Density**: 5625 kg/m³

The structure in extended XYZ format:
```
5
Lattice="-2.354 2.354 6.116 2.354 -2.354 6.116 2.354 2.354 -6.116" Properties=species:S:1:pos:R:3 pbc="T T T"
Ba 0.000 0.000 0.000
Mg 0.000 0.000 4.688
Cd 2.354 0.000 2.945
Cd 0.000 2.354 2.945
Ge 0.000 0.000 7.402
```

---

(3)
Material: BaMgCdGe2
Method: DFT, GGA-PBE
State: optimized geometry

Results
**Symmetry**: I-4m2 (119)
**Calculated volume**: 127 Å³ per cell
**E_tot**: -3.15 eV/atom
**Density**: 5477 kg/m³

The structure in extended XYZ format:
```
5
Lattice="-2.325 2.325 5.878 2.325 -2.325 5.878 2.325 2.325 -5.878" Properties=species:S:1:pos:R:3 pbc="T T T"
Ba 0.000 0.000 0.000
Mg 0.000 2.325 2.939
Cd 2.325 0.000 2.939
Ge 0.000 0.000 4.557
Ge 0.000 0.000 7.199
```

---

Question: What is the formula in the second record?
Answer: BaMgCd2Ge

---

Question: Which value of density does entry 2 give?
Answer: 5625 kg/m³

---

Question: Among the records above, which one has the lowest density?
Answer: BaMgCdGe2